No. 1
Compound: RbMo2F
Source: Alexandria
Functional: GGA+U
Structure: optimized geometry

Properties
* calculated volume: 37.0 A^3/atom

a b c (Å): 7.6831 7.6831 7.6831
angles (deg): 124.48 124.48 82.41
Sites, in units of the cell vectors:
Rb 0.3750 0.6250 0.7500
Rb 0.6250 0.3750 0.2500
Mo 0.0000 0.0000 0.0000
Mo 0.0000 0.0000 0.5000
Mo 0.0000 0.5000 0.0000
Mo 0.5000 0.0000 0.5000
F 0.1250 0.8750 0.2500
F 0.8750 0.1250 0.7500

***

No. 2
Compound: RbMo3F
Source: Alexandria
Functional: GGA+U
Structure: optimized geometry

Properties
* calculated volume: 30.0 A^3/atom

a b c (Å): 5.3160 5.3160 5.3160
angles (deg): 90.00 90.00 90.00
Sites, in units of the cell vectors:
Rb 0.0000 0.0000 0.0000
Mo 0.0000 0.5000 0.5000
Mo 0.5000 0.0000 0.5000
Mo 0.5000 0.5000 0.0000
F 0.5000 0.5000 0.5000

***

No. 3
Compound: RbMo3F
Source: Alexandria
Functional: GGA+U
Structure: optimized geometry

Properties
* calculated volume: 58.9 A^3/atom

a b c (Å): 6.6527 6.6527 6.6527
angles (deg): 90.00 90.00 90.00
Sites, in units of the cell vectors:
Rb 0.0000 0.0000 0.0000
Mo 0.0000 0.0000 0.5000
Mo 0.0000 0.5000 0.0000
Mo 0.5000 0.0000 0.0000
F 0.5000 0.5000 0.5000

***

no.,raw total energy (eV per atom)
1,-3.713
2,-3.719
3,-2.701